Record 1
A geometry-optimized SmHfPt structure, computed with PBE.

a = 6.4277 Å, b = 6.4277 Å, c = 6.4277 Å
α = 148.97°, β = 148.97°, γ = 44.45°
Positions (direct):
Sm 0.0000 0.0000 0.0000
Hf 0.7072 0.7072 0.0000
Pt 0.3117 0.3117 0.0000

Summary:
Calculated total energy, eV for the cell shown: -22.67

***

Record 2
A geometry-optimized Tb3Ni4Rh4 structure, computed with PBE.

a = 6.4193 Å, b = 6.4193 Å, c = 6.4193 Å
α = 109.47°, β = 109.47°, γ = 109.47°
Positions (direct):
Tb 0.0000 0.5000 0.5000
Tb 0.5000 0.0000 0.5000
Tb 0.5000 0.5000 0.0000
Ni 0.0000 0.0000 0.3976
Ni 0.0000 0.3976 0.0000
Ni 0.3976 0.0000 0.0000
Ni 0.6024 0.6024 0.6024
Rh 0.0000 0.0000 0.7508
Rh 0.0000 0.7508 0.0000
Rh 0.2492 0.2492 0.2492
Rh 0.7508 0.0000 0.0000

Summary:
Calculated total energy, eV for the cell shown: -68.77